Density functional theory data (PBE) for a geometry-optimized Ba2ZnCdGe2 structure.

Output
- calculated total energy (eV for the cell shown) = -18.09
- SG = No. 187

Lattice parameters (Å, degrees): 4.630 4.630 9.712 90.00 90.00 120.00
Element x y z (fractional)
Cd  0.000  0.000  0.000
Ge  0.000  0.000  0.500
Ge  0.333  0.667  0.000
Zn  0.333  0.667  0.500
Ba  0.667  0.333  0.254
Ba  0.667  0.333  0.746

---

Density functional theory data (PBE) for a geometry-optimized ScCuTe3Pb structure.

Output
- energy above the lowest structure with this stoichiometry (meV per atom) = 0
- calculated total energy (eV for the cell shown) = -108.02
- SG = No. 62

Lattice parameters (Å, degrees): 10.890 4.206 14.342 90.00 90.00 90.00
Element x y z (fractional)
Cu  0.745  0.750  0.719
Cu  0.755  0.250  0.219
Cu  0.245  0.750  0.781
Cu  0.255  0.250  0.281
Te  0.232  0.250  0.669
Te  0.732  0.250  0.831
Te  0.460  0.250  0.384
Te  0.040  0.750  0.884
Te  0.268  0.750  0.169
Te  0.931  0.750  0.606
Te  0.069  0.250  0.394
Te  0.569  0.250  0.106
Te  0.540  0.750  0.616
Te  0.431  0.750  0.894
Te  0.768  0.750  0.331
Te  0.960  0.250  0.116
Sc  0.523  0.750  0.245
Sc  0.977  0.250  0.745
Sc  0.477  0.250  0.755
Sc  0.023  0.750  0.255
Pb  0.727  0.250  0.513
Pb  0.227  0.250  0.987
Pb  0.273  0.750  0.487
Pb  0.773  0.750  0.013

---

| no. | volume (A^3/atom) |
| --- | --- |
| 1 | 30.05 |
| 2 | 27.37 |